# 1
Compound: Ba3SrPa2O9
Source: Alexandria via LeMat-Bulk
Functional: PBE
Structure: relaxed

Lattice parameters (Å, degrees): 6.3958 6.3958 7.8208 90.00 90.00 120.00
Space group P-3m1 (No. 164)
One atom of each set of equivalent atoms:
Ba1 0.0000 0.0000 0.0000 (multiplicity 1)
Ba2 0.3333 0.6667 0.6417 (multiplicity 2)
Sr1 0.0000 0.0000 0.5000 (multiplicity 1)
Pa1 0.3333 0.6667 0.1626 (multiplicity 2)
O1 0.0000 0.5000 0.0000 (multiplicity 3)
O2 0.1781 0.3561 0.3217 (multiplicity 6)

Summary:
total moment	0.00	μB/cell
calculated volume	18.5	A^3/atom
formation energy (no corrections)	-48.0	eV per formula unit
VASP energy	-7.937	eV per atom

# 2
Compound: BaPaTa2O8
Source: Alexandria via LeMat-Bulk
Functional: PBE
Structure: relaxed

Lattice parameters (Å, degrees): 6.0931 6.0931 7.6025 90.00 90.00 120.00
Space group P-3m1 (No. 164)
One atom of each set of equivalent atoms:
Ba1 0.0000 0.0000 0.0000 (multiplicity 1)
Pa1 0.0000 0.0000 0.5000 (multiplicity 1)
Ta1 0.3333 0.6667 0.2302 (multiplicity 2)
O1 0.1624 0.3247 0.3047 (multiplicity 6)
O2 0.3333 0.6667 0.9931 (multiplicity 2)

Summary:
total moment	1.02	μB/cell
calculated volume	20.4	A^3/atom
formation energy (no corrections)	-35.8	eV per formula unit
VASP energy	-9.213	eV per atom

# 3
Compound: Ba2TbPaO6
Source: Alexandria via LeMat-Bulk
Functional: PBE
Structure: relaxed

Lattice parameters (Å, degrees): 8.8895 8.8895 8.8895 90.00 90.00 90.00
Space group Fm-3m (No. 225)
One atom of each set of equivalent atoms:
Ba1 0.2500 0.2500 0.2500 (multiplicity 8)
Tb1 0.0000 0.0000 0.0000 (multiplicity 4)
Pa1 0.0000 0.0000 0.5000 (multiplicity 4)
O1 0.0000 0.0000 0.2547 (multiplicity 24)

Summary:
total moment	0.00	μB/cell
calculated volume	17.6	A^3/atom
formation energy (no corrections)	-33.2	eV per formula unit
VASP energy	-8.088	eV per atom

> Which formula does entry 1 have?

Ba3SrPa2O9

> VASP energy of number 2 (BaPaTa2O8)?

-9.213 eV per atom